# TlZn2BiH PBE relaxed
data_TlZn2BiH
_chemical_formula_sum 'Tl1 Zn2 Bi1 H1'
_symmetry_space_group_name_H-M 'P 1'
_symmetry_Int_Tables_number 1
_symmetry_space_group_name_Hall 'P 1'
_cell_length_a 4.645
_cell_length_b 4.645
_cell_length_c 4.701
_cell_angle_alpha 90.00
_cell_angle_beta 90.00
_cell_angle_gamma 90.00
loop_
_atom_site_label
_atom_site_fract_x
_atom_site_fract_y
_atom_site_fract_z
Tl1 0.000 0.000 0.000
Zn1 0.000 0.500 0.500
Zn2 0.500 0.000 0.500
Bi1 0.500 0.500 0.000
H1 0.000 0.000 0.500
# DOS at the Fermi energy = 1.90 states/eV/f.u.
# final energy = -10.4 eV per cell